Below is crystalline Cd2InF at its relaxed geometry, with properties calculated at the GGA-PBE level.

Output
The calculation puts the formation energy without anion corrections at -0.65 eV/atom.

a = 3.2964 Å, b = 3.2964 Å, c = 28.9991 Å
α = 90.00°, β = 90.00°, γ = 120.00°
Space group R-3m (No. 166, hexagonal axes)
Inequivalent atoms, fractional coordinates:
Cd 0.0000 0.0000 0.0749 x6
In 0.0000 0.0000 0.5000 x3
F 0.0000 0.0000 0.0000 x3

Below is crystalline CdIn2F8 at its relaxed geometry, with properties calculated at the GGA-PBE level.

Output
The calculation puts the formation energy without anion corrections at -2.33 eV/atom.

a = 6.6584 Å, b = 9.7266 Å, c = 4.2488 Å
α = 90.00°, β = 103.20°, γ = 90.00°
Space group C2/m (No. 12)
Inequivalent atoms, fractional coordinates:
Cd 0.0000 0.0000 0.0000 x2
In 0.0000 0.3178 0.5000 x4
F 0.0000 0.2342 0.0000 x4
F 0.1244 0.5000 0.7951 x4
F 0.1960 0.1341 0.5875 x8

Below is crystalline CdInF2 at its relaxed geometry, with properties calculated at the GGA-PBE level.

Output
The calculation puts the formation energy without anion corrections at -1.25 eV/atom.

a = 6.5358 Å, b = 6.5358 Å, c = 6.5358 Å
α = 90.00°, β = 90.00°, γ = 90.00°
Space group Fm-3m (No. 225)
Inequivalent atoms, fractional coordinates:
Cd 0.0000 0.0000 0.0000 x4
In 0.0000 0.0000 0.5000 x4
F 0.2500 0.2500 0.2500 x8